# 1
Density functional theory data (PBE) for a relaxed PtAu2Se crystal.

Properties
Space group: No. 119
N(E_F) (states/eV/cell): 2.73
Formation energy from raw total energies (meV/atom): 290

a b c (Å): 5.049 5.049 5.049
angles (deg): 130.95 130.95 71.90
Sites, in units of the cell vectors:
Pt1 0.000 0.000 0.000
Au1 0.500 0.500 0.000
Au2 0.750 0.250 0.500
Se1 0.250 0.750 0.500

=====

# 2
Density functional theory data (PBE) for a relaxed InSn6Pd12 crystal.

Properties
Space group: No. 148
N(E_F) (states/eV/cell): 7.99
Energy relative to the elements (eV/atom): -0.43

a b c (Å): 7.507 7.507 7.507
angles (deg): 107.19 107.19 107.19
Sites, in units of the cell vectors:
In1 0.000 0.000 0.000
Sn1 0.096 0.482 0.218
Sn2 0.218 0.096 0.482
Sn3 0.482 0.218 0.096
Sn4 0.518 0.782 0.904
Sn5 0.782 0.904 0.518
Sn6 0.904 0.518 0.782
Pd1 0.108 0.270 0.836
Pd2 0.164 0.892 0.730
Pd3 0.179 0.475 0.592
Pd4 0.270 0.836 0.108
Pd5 0.408 0.821 0.525
Pd6 0.475 0.592 0.179
Pd7 0.525 0.408 0.821
Pd8 0.592 0.179 0.475
Pd9 0.730 0.164 0.892
Pd10 0.821 0.525 0.408
Pd11 0.836 0.108 0.270
Pd12 0.892 0.730 0.164

=====

# 3
Density functional theory data (PBE) for a relaxed TmLuPdPt crystal.

Properties
Space group: No. 216
N(E_F) (states/eV/cell): 2.66
Energy relative to the elements (eV/atom): -1.15

a b c (Å): 4.867 4.867 4.867
angles (deg): 60.00 60.00 60.00
Sites, in units of the cell vectors:
Tm1 0.000 0.000 0.000
Lu1 0.500 0.500 0.500
Pd1 0.750 0.750 0.750
Pt1 0.250 0.250 0.250

=====

# 4
Density functional theory data (PBE) for a relaxed KTa2Co crystal.

Properties
Excess energy over the best structure of this formula in the dataset (meV/atom): 895
Space group: No. 65
N(E_F) (states/eV/cell): 6.08
Energy relative to the elements (eV/atom): 1.42

a b c (Å): 5.889 5.889 2.706
angles (deg): 90.00 90.00 124.10
Sites, in units of the cell vectors:
K1 0.000 0.000 0.000
Ta1 0.000 0.500 0.500
Ta2 0.500 0.000 0.500
Co1 0.500 0.500 0.000

=====

# 5
Density functional theory data (PBE) for a relaxed ScNiIN2 crystal.

Properties
Excess energy over the best structure of this formula in the dataset (meV/atom): 42
Space group: No. 123
N(E_F) (states/eV/cell): 4.13
Formation energy from raw total energies (meV/atom): 929

a b c (Å): 3.964 3.964 4.933
angles (deg): 90.00 90.00 90.00
Sites, in units of the cell vectors:
Sc1 0.000 0.000 0.000
Ni1 0.500 0.500 0.500
I1 0.500 0.500 0.000
N1 0.000 0.500 0.500
N2 0.500 0.000 0.500

=====

# 6
Density functional theory data (PBE) for a relaxed NaHSCl2 crystal.

Properties
Excess energy over the best structure of this formula in the dataset (meV/atom): 746
Space group: No. 123
N(E_F) (states/eV/cell): 6.29

a b c (Å): 5.326 5.326 5.709
angles (deg): 90.00 90.00 90.00
Sites, in units of the cell vectors:
Na1 0.000 0.000 0.000
H1 0.500 0.500 0.500
S1 0.000 0.000 0.500
Cl1 0.000 0.500 0.000
Cl2 0.500 0.000 0.000

=====

# 7
Density functional theory data (PBE) for a relaxed Tb3Sm3Tl crystal.

Properties
Excess energy over the best structure of this formula in the dataset (meV/atom): 0
Space group: No. 176
N(E_F) (states/eV/cell): 18.81
Energy relative to the elements (eV/atom): -0.07

a b c (Å): 9.493 9.493 5.622
angles (deg): 90.00 90.00 120.00
Sites, in units of the cell vectors:
Tb1 0.062 0.240 0.250
Tb2 0.178 0.938 0.250
Tb3 0.240 0.178 0.750
Tb4 0.760 0.822 0.250
Tb5 0.822 0.062 0.750
Tb6 0.938 0.760 0.750
Sm1 0.107 0.478 0.750
Sm2 0.370 0.893 0.750
Sm3 0.478 0.370 0.250
Sm4 0.522 0.630 0.750
Sm5 0.630 0.107 0.250
Sm6 0.893 0.522 0.250
Tl1 0.333 0.667 0.250
Tl2 0.667 0.333 0.750

=====

# 8
Density functional theory data (PBE) for a relaxed NdGdCo crystal.

Properties
Excess energy over the best structure of this formula in the dataset (meV/atom): 0
Space group: No. 156
N(E_F) (states/eV/cell): 2.70
Energy relative to the elements (eV/atom): -0.03

a b c (Å): 3.956 3.956 6.293
angles (deg): 90.00 90.00 120.00
Sites, in units of the cell vectors:
Nd1 0.000 0.000 0.000
Gd1 0.333 0.667 0.464
Co1 0.667 0.333 0.239

=====

# 9
Density functional theory data (PBE) for a relaxed Tb3Sn3Pd crystal.

Properties
Space group: No. 12
N(E_F) (states/eV/cell): 7.59
Energy relative to the elements (eV/atom): -0.81

a b c (Å): 6.062 6.062 14.887
angles (deg): 107.49 107.49 43.95
Sites, in units of the cell vectors:
Tb1 0.030 0.030 0.382
Tb2 0.097 0.097 0.921
Tb3 0.236 0.236 0.231
Tb4 0.764 0.764 0.769
Tb5 0.903 0.903 0.079
Tb6 0.970 0.970 0.618
Sn1 0.361 0.361 0.455
Sn2 0.370 0.370 0.924
Sn3 0.479 0.479 0.766
Sn4 0.521 0.521 0.234
Sn5 0.630 0.630 0.076
Sn6 0.639 0.639 0.545
Pd1 0.263 0.263 0.611
Pd2 0.737 0.737 0.389

=====

# 10
Density functional theory data (PBE) for a relaxed Tl3Hg3Br crystal.

Properties
Space group: No. 223
N(E_F) (states/eV/cell): 4.88
Formation energy from raw total energies (meV/atom): 97

a b c (Å): 8.608 8.608 8.608
angles (deg): 90.00 90.00 90.00
Sites, in units of the cell vectors:
Tl1 0.000 0.250 0.500
Tl2 0.000 0.750 0.500
Tl3 0.250 0.500 0.000
Tl4 0.500 0.000 0.250
Tl5 0.500 0.000 0.750
Tl6 0.750 0.500 0.000
Hg1 0.000 0.500 0.250
Hg2 0.000 0.500 0.750
Hg3 0.250 0.000 0.500
Hg4 0.500 0.250 0.000
Hg5 0.500 0.750 0.000
Hg6 0.750 0.000 0.500
Br1 0.000 0.000 0.000
Br2 0.500 0.500 0.500

=====

# 11
Density functional theory data (PBE) for a relaxed MgTa2W crystal.

Properties
Space group: No. 119
N(E_F) (states/eV/cell): 3.50
Energy relative to the elements (eV/atom): 0.39

a b c (Å): 4.836 4.836 4.836
angles (deg): 126.35 126.35 79.32
Sites, in units of the cell vectors:
Mg1 0.000 0.000 0.000
Ta1 0.250 0.750 0.500
Ta2 0.500 0.500 0.000
W1 0.750 0.250 0.500

=====

# 12
Density functional theory data (PBE) for a relaxed AcTb3Ag2 crystal.

Properties
Excess energy over the best structure of this formula in the dataset (meV/atom): 0
Space group: No. 123
N(E_F) (states/eV/cell): 6.10
Energy relative to the elements (eV/atom): -0.17

a b c (Å): 3.692 3.692 12.697
angles (deg): 90.00 90.00 90.00
Sites, in units of the cell vectors:
Ac1 0.000 0.000 0.000
Tb1 0.500 0.500 0.217
Tb2 0.500 0.500 0.500
Tb3 0.500 0.500 0.783
Ag1 0.000 0.000 0.357
Ag2 0.000 0.000 0.643

=====

# 13
Density functional theory data (PBE) for a relaxed NdTcAs2 crystal.

Properties
Space group: No. 166
N(E_F) (states/eV/cell): 4.28
Energy relative to the elements (eV/atom): 0.32

a b c (Å): 10.101 10.101 10.101
angles (deg): 17.82 17.82 17.82
Sites, in units of the cell vectors:
Nd1 0.000 0.000 0.000
Tc1 0.500 0.500 0.500
As1 0.419 0.419 0.419
As2 0.581 0.581 0.581

=====

# 14
Density functional theory data (PBE) for a relaxed Ho2Ga2Hg crystal.

Properties
Space group: No. 12
N(E_F) (states/eV/cell): 7.12
Energy relative to the elements (eV/atom): -0.55

a b c (Å): 5.905 5.905 10.480
angles (deg): 114.94 114.94 44.38
Sites, in units of the cell vectors:
Ho1 0.003 0.003 0.321
Ho2 0.181 0.181 0.097
Ho3 0.819 0.819 0.903
Ho4 0.997 0.997 0.679
Ga1 0.370 0.370 0.430
Ga2 0.465 0.465 0.106
Ga3 0.535 0.535 0.894
Ga4 0.630 0.630 0.570
Hg1 0.282 0.282 0.656
Hg2 0.718 0.718 0.344

=====

# 15
Density functional theory data (PBE) for a relaxed HfVSe4 crystal.

Properties
Space group: No. 12
N(E_F) (states/eV/cell): 2.83
Formation energy from raw total energies (meV/atom): -970

a b c (Å): 7.225 7.225 6.227
angles (deg): 96.67 96.67 28.71
Sites, in units of the cell vectors:
Hf1 0.000 0.000 0.000
V1 0.500 0.500 0.500
Se1 0.111 0.111 0.378
Se2 0.384 0.384 0.147
Se3 0.616 0.616 0.853
Se4 0.889 0.889 0.622

=====

# 16
Density functional theory data (PBE) for a relaxed Ac2Al2Cd crystal.

Properties
Excess energy over the best structure of this formula in the dataset (meV/atom): 0
Space group: No. 12
N(E_F) (states/eV/cell): 8.07
Energy relative to the elements (eV/atom): -0.32

a b c (Å): 6.330 6.330 11.723
angles (deg): 116.40 116.40 46.11
Sites, in units of the cell vectors:
Ac1 0.011 0.011 0.327
Ac2 0.185 0.185 0.096
Ac3 0.815 0.815 0.904
Ac4 0.989 0.989 0.673
Al1 0.366 0.366 0.442
Al2 0.489 0.489 0.112
Al3 0.511 0.511 0.888
Al4 0.634 0.634 0.558
Cd1 0.273 0.273 0.647
Cd2 0.727 0.727 0.353

=====

# 17
Density functional theory data (PBE) for a relaxed Sm4ErTm2Mg crystal.

Properties
Space group: No. 123
N(E_F) (states/eV/cell): 10.68
Energy relative to the elements (eV/atom): 0.01

a b c (Å): 5.026 5.026 9.839
angles (deg): 90.00 90.00 90.00
Sites, in units of the cell vectors:
Sm1 0.000 0.500 0.246
Sm2 0.000 0.500 0.754
Sm3 0.500 0.000 0.246
Sm4 0.500 0.000 0.754
Er1 0.000 0.000 0.500
Tm1 0.000 0.000 0.000
Tm2 0.500 0.500 0.500
Mg1 0.500 0.500 0.000

=====

# 18
Density functional theory data (PBE) for a relaxed NaFeIr crystal.

Properties
Excess energy over the best structure of this formula in the dataset (meV/atom): 147
Space group: No. 107
N(E_F) (states/eV/cell): 3.60
Energy relative to the elements (eV/atom): 0.41

a b c (Å): 6.854 6.854 6.854
angles (deg): 156.89 156.89 32.92
Sites, in units of the cell vectors:
Na1 0.000 0.000 0.000
Fe1 0.306 0.306 0.000
Ir1 0.687 0.687 0.000

=====

# 19
Density functional theory data (PBE) for a relaxed DyThGaGe crystal.

Properties
Space group: No. 38
N(E_F) (states/eV/cell): 3.43
Energy relative to the elements (eV/atom): -0.70

a b c (Å): 4.073 5.928 5.928
angles (deg): 43.40 90.00 90.00
Sites, in units of the cell vectors:
Dy1 0.000 0.000 0.000
Th1 0.500 0.719 0.719
Ga1 0.000 0.284 0.284
Ge1 0.500 0.440 0.440

=====

# 20
Density functional theory data (PBE) for a relaxed Be3VSi crystal.

Properties
Excess energy over the best structure of this formula in the dataset (meV/atom): 0
Space group: No. 221
N(E_F) (states/eV/cell): 4.14
Formation energy from raw total energies (meV/atom): 1002

a b c (Å): 4.064 4.064 4.064
angles (deg): 90.00 90.00 90.00
Sites, in units of the cell vectors:
Be1 0.000 0.000 0.500
Be2 0.000 0.500 0.000
Be3 0.500 0.000 0.000
V1 0.500 0.500 0.500
Si1 0.000 0.000 0.000

=====

# 21
Density functional theory data (PBE) for a relaxed Al2GaCo3 crystal.

Properties
Space group: No. 123
N(E_F) (states/eV/cell): 2.54
Energy relative to the elements (eV/atom): -0.50

a b c (Å): 2.866 2.866 8.559
angles (deg): 90.00 90.00 90.00
Sites, in units of the cell vectors:
Al1 0.000 0.000 0.165
Al2 0.000 0.000 0.835
Ga1 0.000 0.000 0.500
Co1 0.500 0.500 0.000
Co2 0.500 0.500 0.333
Co3 0.500 0.500 0.667

=====

# 22
Density functional theory data (PBE) for a relaxed DyYTe3 crystal.

Properties
Excess energy over the best structure of this formula in the dataset (meV/atom): 12
Space group: No. 63
N(E_F) (states/eV/cell): 0.36
Formation energy from raw total energies (meV/atom): -1362

a b c (Å): 7.400 7.400 10.791
angles (deg): 90.00 90.00 146.83
Sites, in units of the cell vectors:
Dy1 0.246 0.754 0.750
Dy2 0.754 0.246 0.250
Y1 0.000 0.000 0.000
Y2 0.000 0.000 0.500
Te1 0.097 0.903 0.250
Te2 0.352 0.648 0.068
Te3 0.352 0.648 0.432
Te4 0.648 0.352 0.568
Te5 0.648 0.352 0.932
Te6 0.903 0.097 0.750

=====

# 23
Density functional theory data (PBE) for a relaxed Sm6Mg2In crystal.

Properties
Space group: No. 71
N(E_F) (states/eV/cell): 23.51
Energy relative to the elements (eV/atom): -0.06

a b c (Å): 9.017 9.017 9.017
angles (deg): 111.79 109.83 106.83
Sites, in units of the cell vectors:
Sm1 0.058 0.239 0.819
Sm2 0.240 0.563 0.323
Sm3 0.240 0.917 0.677
Sm4 0.303 0.243 0.546
Sm5 0.303 0.757 0.059
Sm6 0.420 0.239 0.181
Sm7 0.580 0.761 0.819
Sm8 0.697 0.243 0.941
Sm9 0.697 0.757 0.454
Sm10 0.760 0.083 0.323
Sm11 0.760 0.437 0.677
Sm12 0.942 0.761 0.181
Mg1 0.000 0.139 0.139
Mg2 0.000 0.861 0.861
Mg3 0.134 0.500 0.634
Mg4 0.866 0.500 0.366
In1 0.500 0.000 0.500
In2 0.500 0.500 0.000

=====

# 24
Density functional theory data (PBE) for a relaxed CeY5As6 crystal.

Properties
Space group: No. 12
N(E_F) (states/eV/cell): 5.70
Energy relative to the elements (eV/atom): -1.54

a b c (Å): 7.168 7.168 7.172
angles (deg): 99.59 99.59 119.99
Sites, in units of the cell vectors:
Ce1 0.000 0.000 0.000
Y1 0.166 0.834 0.500
Y2 0.333 0.667 0.000
Y3 0.500 0.500 0.500
Y4 0.667 0.333 0.000
Y5 0.834 0.166 0.500
As1 0.084 0.418 0.251
As2 0.251 0.251 0.750
As3 0.418 0.084 0.251
As4 0.582 0.916 0.749
As5 0.749 0.749 0.250
As6 0.916 0.582 0.749